# 1
An optimized crystal structure of HfZr2Ni2As4Pd2, computed with PBE-GGA.

Cell: 6.5942 3.8654 7.5387 Å, 90.00 90.39 90.00°
Last column: nearest neighbours and their distance in Å.
Positions (direct):
Ni (0.3708, 0.5000, 0.9424)  4 As 2.45-2.65, 2 Pd 2.73
Ni (0.1642, 0.0000, 0.4389)  4 As 2.47-2.72
Pd (0.8648, 0.5000, 0.5656)  4 As 2.46-2.54
Pd (0.6292, 0.0000, 0.0635)  4 As 2.51-2.57, 2 Ni 2.73
As (0.7578, 0.0000, 0.3777)  3 Pd 2.50-2.51, 1 Ni 2.72
As (0.2433, 0.0000, 0.1070)  3 Ni 2.45-2.56, 1 Pd 2.57, 2 Zr 2.70
As (0.7665, 0.5000, 0.8796)  3 Pd 2.46-2.55, 1 Zr 2.65, 1 Ni 2.65
As (0.2428, 0.5000, 0.6317)  3 Ni 2.47-2.48, 1 Pd 2.54, 2 Zr 2.73
Hf (0.4586, 0.5000, 0.3168)  5 As 2.78-2.87, 3 Ni 2.88-2.89, 2 Pd 2.95
Zr (0.9721, 0.5000, 0.1833)  5 As 2.65-2.81
Zr (0.5277, 0.0000, 0.6907)  5 As 2.73-2.87, 1 Pd 2.88, 3 Ni 2.90-3.05

## Properties
VASP energy = -6.889 eV per atom
Spin magnetization = 0.0 μB per formula unit
Excess energy over the best structure of this formula in the dataset = 0.774 kcal/mol of atoms


# 2
An optimized crystal structure of Hf2ZrNiAs4Pd3, computed with PBE-GGA.

Cell: 6.5773 3.8813 7.7141 Å, 90.00 91.38 90.00°
Last column: nearest neighbours and their distance in Å.
Positions (direct):
Pd (0.3631, 0.5000, 0.9316)  4 As 2.53-2.79, 2 Pd 2.83
Pd (0.6420, 0.0000, 0.0585)  4 As 2.56-2.74, 2 Pd 2.83
Pd (0.8576, 0.5000, 0.5671)  4 As 2.46-2.57
Ni (0.1514, 0.0000, 0.4429)  4 As 2.43-2.61
As (0.7811, 0.5000, 0.8783)  3 Pd 2.46-2.57, 1 Hf 2.66
As (0.2453, 0.5000, 0.6164)  2 Ni 2.43, 2 Pd 2.53-2.57
As (0.7601, 0.0000, 0.3773)  3 Pd 2.50-2.56, 1 Ni 2.61, 2 Zr 2.79, 2 Hf 2.80
As (0.2367, 0.0000, 0.1319)  1 Ni 2.48, 3 Pd 2.63-2.74, 2 Hf 2.68
Zr (0.4617, 0.5000, 0.3162)  5 As 2.75-2.81, 2 Ni 3.00, 3 Pd 3.02-3.04
Hf (0.9656, 0.5000, 0.1883)  5 As 2.66-2.80
Hf (0.5333, 0.0000, 0.6886)  5 As 2.76-2.91, 5 Pd 2.92-3.05

## Properties
VASP energy = -6.993 eV per atom
Spin magnetization = 0.0 μB per formula unit
Excess energy over the best structure of this formula in the dataset = 0.074 kcal/mol of atoms


# 3
An optimized crystal structure of HfZr2Ni2As4Pd2, computed with PBE-GGA.

Cell: 6.5888 3.8635 7.5974 Å, 90.00 90.81 90.00°
Last column: nearest neighbours and their distance in Å.
Positions (direct):
Zr (0.9707, 0.5000, 0.1872)  5 As 2.63-2.76
Zr (0.4661, 0.5000, 0.3146)  5 As 2.75-2.77, 1 Pd 2.95, 4 Ni 2.98-3.00
As (0.2499, 0.0000, 0.1292)  2 Ni 2.48-2.61, 2 Pd 2.57, 4 Zr 2.71-2.77
As (0.7578, 0.0000, 0.3658)  2 Ni 2.47-2.67, 2 Pd 2.56, 4 Zr 2.75-2.76
As (0.2414, 0.5000, 0.6177)  2 Ni 2.40, 2 Pd 2.54-2.58
As (0.7645, 0.5000, 0.8888)  2 Ni 2.47, 2 Pd 2.49-2.62, 1 Zr 2.63
Ni (0.6357, 0.0000, 0.0570)  4 As 2.47-2.61, 2 Pd 2.76
Ni (0.1542, 0.0000, 0.4441)  4 As 2.40-2.67
Pd (0.8532, 0.5000, 0.5710)  4 As 2.49-2.58
Pd (0.3713, 0.5000, 0.9338)  4 As 2.54-2.62, 2 Ni 2.76
Hf (0.5331, 0.0000, 0.6881)  5 As 2.77-2.88, 2 Ni 2.87-3.09, 4 Pd 2.90-3.00

## Properties
VASP energy = -6.904 eV per atom
Spin magnetization = 0.0 μB per formula unit
Excess energy over the best structure of this formula in the dataset = 0.429 kcal/mol of atoms


# 4
An optimized crystal structure of Hf2ZrNiAs4Pd3, computed with PBE-GGA.

Cell: 6.6257 3.9063 7.5903 Å, 90.00 90.22 90.00°
Last column: nearest neighbours and their distance in Å.
Positions (direct):
Hf (0.5414, 0.5000, 0.3165)  5 As 2.78-2.95, 1 Ni 2.87, 4 Pd 2.92-2.96
Hf (0.4670, 0.0000, 0.6948)  5 As 2.72-2.86, 1 Pd 2.86, 2 Ni 2.91
Pd (0.1399, 0.5000, 0.5640)  4 As 2.46-2.67
Pd (0.3716, 0.0000, 0.0624)  4 As 2.52-2.58, 2 Ni 2.72
Pd (0.8382, 0.0000, 0.4386)  4 As 2.58-2.78
As (0.7476, 0.5000, 0.6458)  1 Ni 2.42, 3 Pd 2.58-2.67
As (0.2513, 0.0000, 0.3768)  4 Pd 2.52-2.78, 3 Hf 2.78-2.80
As (0.2325, 0.5000, 0.8781)  3 Pd 2.46-2.57, 1 Ni 2.64, 1 Zr 2.65
As (0.7588, 0.0000, 0.0957)  2 Ni 2.43, 2 Pd 2.58-2.65
Zr (0.0304, 0.5000, 0.1792)  5 As 2.65-2.86
Ni (0.6233, 0.5000, 0.9454)  4 As 2.42-2.64

## Properties
VASP energy = -6.996 eV per atom
Spin magnetization = 0.0 μB per formula unit
Excess energy over the best structure of this formula in the dataset = 0.000 kcal/mol of atoms